DFT (GGA-PBEsol) results for crystalline TaAlCr2 at its relaxed geometry.

a = 2.6142 Å, b = 4.1538 Å, c = 5.1144 Å
α = 90.00°, β = 99.34°, γ = 90.00°
Atoms (fractional coordinates):
Cr  0.7052  0.0000  0.7336
Cr  0.2948  0.0000  0.2664
Al  0.0000  0.5000  0.5000
Ta  0.5000  0.5000  0.0000

The space group is P2/m (10). The calculation puts the energy of formation at 95.8 meV per atom. As for the calculated volume: 13.7 A^3/atom.

***

DFT (GGA-PBEsol) results for crystalline GeTeF2 at its relaxed geometry.

a = 6.4519 Å, b = 6.4193 Å, c = 6.4519 Å
α = 59.83°, β = 90.00°, γ = 120.17°
Atoms (fractional coordinates):
Ge  0.2500  0.5000  0.2500
Ge  0.5000  0.0000  0.5000
Te  0.7500  0.5000  0.7500
Te  0.0000  0.0000  0.0000
F  0.4337  0.7500  0.3750
F  0.3163  0.7500  0.8750
F  0.8750  0.2500  0.4337
F  0.3750  0.2500  0.3163

The space group is I-42d (122). The uncorrected formation energy comes out at -908 meV/atom. As for the calculated volume: 23.5 A^3/atom.

***

DFT (GGA-PBEsol) results for crystalline Sc3GeAs at its relaxed geometry.

a = 4.9250 Å, b = 4.9250 Å, c = 4.9250 Å
α = 90.00°, β = 90.00°, γ = 90.00°
Atoms (fractional coordinates):
Sc  0.0000  0.5000  0.0000
Sc  0.0000  0.0000  0.5000
Sc  0.5000  0.0000  0.0000
As  0.5000  0.5000  0.5000
Ge  0.0000  0.0000  0.0000

The space group is Pm-3m (221). The calculation puts the energy of formation at -251.1 meV per atom. As for the calculated volume: 23.9 A^3/atom.

***

DFT (GGA-PBEsol) results for crystalline Sr2HgP at its relaxed geometry.

a = 4.0722 Å, b = 5.1437 Å, c = 5.1437 Å
α = 90.00°, β = 90.00°, γ = 90.00°
Atoms (fractional coordinates):
Hg  0.5000  0.0000  0.0000
P  0.5000  0.5000  0.5000
Sr  0.0000  0.0000  0.5000
Sr  0.0000  0.5000  0.0000

For the polymorph energy (0 for the lowest one), the calculation gives 53.4 meV per atom. The space group is P4/mmm (123). The calculation puts the energy of formation at -742.8 meV per atom. As for the calculated volume: 26.9 A^3/atom.

***

DFT (GGA-PBEsol) results for crystalline NaRhCl3 at its relaxed geometry.

a = 4.7493 Å, b = 4.7493 Å, c = 4.7493 Å
α = 90.00°, β = 90.00°, γ = 90.00°
Atoms (fractional coordinates):
Na  0.5000  0.5000  0.5000
Rh  0.0000  0.0000  0.0000
Cl  0.0000  0.5000  0.0000
Cl  0.0000  0.0000  0.5000
Cl  0.5000  0.0000  0.0000

For the polymorph energy (0 for the lowest one), the calculation gives 0.0 meV per atom. The space group is Pm-3m (221). The uncorrected formation energy comes out at -813 meV/atom. As for the calculated volume: 21.4 A^3/atom.

***

DFT (GGA-PBEsol) results for crystalline TeRhAu at its relaxed geometry.

a = 4.4140 Å, b = 4.4140 Å, c = 4.4140 Å
α = 60.00°, β = 60.00°, γ = 60.00°
Atoms (fractional coordinates):
Au  0.0000  0.0000  0.0000
Rh  0.5000  0.5000  0.5000
Te  0.2500  0.2500  0.2500

For the polymorph energy (0 for the lowest one), the calculation gives 241.3 meV per atom. The space group is F-43m (216). The uncorrected formation energy comes out at 257 meV/atom. As for the calculated volume: 20.3 A^3/atom.

***

DFT (GGA-PBEsol) results for crystalline BaAgIO2 at its relaxed geometry.

a = 4.4477 Å, b = 4.4477 Å, c = 7.1725 Å
α = 90.00°, β = 90.00°, γ = 90.00°
Atoms (fractional coordinates):
I  0.0000  0.0000  0.5000
O  0.0000  0.5000  0.0000
O  0.5000  0.0000  0.0000
Ba  0.0000  0.0000  0.0000
Ag  0.5000  0.5000  0.5000

The space group is P4/mmm (123). The uncorrected formation energy comes out at -305 meV/atom. As for the calculated volume: 28.4 A^3/atom.

***

DFT (GGA-PBEsol) results for crystalline Al7Ag at its relaxed geometry.

a = 4.9668 Å, b = 4.9668 Å, c = 5.6420 Å
α = 90.00°, β = 90.00°, γ = 110.78°
Atoms (fractional coordinates):
Al  0.5000  0.0000  0.7485
Al  0.0000  0.0000  0.5000
Al  0.5000  0.0000  0.2515
Al  0.5000  0.5000  0.0000
Al  0.0000  0.5000  0.7485
Al  0.5000  0.5000  0.5000
Al  0.0000  0.5000  0.2515
Ag  0.0000  0.0000  0.0000

For the polymorph energy (0 for the lowest one), the calculation gives 20.0 meV per atom. The space group is Cmmm (65). The calculation puts the energy of formation at 1.5 meV per atom. As for the calculated volume: 16.3 A^3/atom.